# NdAg2Au PBE relaxed
data_NdAg2Au
_cell_length_a 4.4604
_cell_length_b 5.6202
_cell_length_c 7.8060
_cell_angle_alpha 90.00
_cell_angle_beta 90.00
_cell_angle_gamma 113.43
_symmetry_space_group_name_H-M 'P 1'
_symmetry_Int_Tables_number 1
loop_
_symmetry_equiv_pos_as_xyz
'x,y,z'
loop_
_atom_site_label
_atom_site_fract_x
_atom_site_fract_y
_atom_site_fract_z
Nd1 0.0718 0.1434 0.2500
Nd2 0.9282 0.8566 0.7500
Ag1 0.3705 0.7405 0.0582
Ag2 0.3705 0.7405 0.4418
Ag3 0.6295 0.2595 0.9418
Ag4 0.6295 0.2595 0.5582
Au1 0.7776 0.5548 0.2500
Au2 0.2224 0.4452 0.7500
# Polymorph energy (0 for the lowest one) in meV/atom: 0
# SG: Cmcm, No. 63
# DFT formation energy in kcal/mol of atoms: -9.135